# Li2DyNiF8 PBE+U relaxed
# - total moment (μB per formula unit) = 3.00
# - density of states at the Fermi level (states/eV per atom) = 0.00
# - electronic total energy (eV/cell) = -60.65
data_Li2DyNiF8
_chemical_formula_sum 'Li2 Dy1 Ni1 F8'
_cell_length_a 4.741
_cell_length_b 6.533
_cell_length_c 4.743
_cell_angle_alpha 90.00
_cell_angle_beta 91.16
_cell_angle_gamma 90.00
_space_group_name_H-M_alt 'P 1 2/m 1'
_space_group_IT_number 10
loop_
_space_group_symop_operation_xyz
'x,y,z'
'-x,-y,-z'
'-x,y,-z'
'x,-y,z'
loop_
_atom_site_label
_atom_site_type_symbol
_atom_site_fract_x
_atom_site_fract_y
_atom_site_fract_z
_atom_site_occupancy
Li1 Li 0.000 0.243 0.000 1
Dy1 Dy 0.500 0.500 0.500 1
Ni1 Ni 0.500 0.000 0.500 1
F1 F 0.186 0.500 0.817 1
F2 F 0.227 0.000 0.776 1
F3 F 0.301 0.225 0.304 1